1.
# CuReAu

Crystalline CuReAu at its relaxed geometry (GGA-PBE, Alexandria).

Unit cell a=4.9547 b=4.9547 c=4.9547 alpha=148.68 beta=133.85 gamma=56.83
Last column: magnetic moment on the atom in μB.
Positions (direct):
Au 0.0034 0.0034 0.0000  0.03
Re 0.3231 0.3231 0.0000  0.23
Cu 0.6735 0.6735 0.0000  0.01

Total magnetic moment, Bohr magnetons per cell: 0.29
VASP energy, eV/atom: -6.022
ΔE_f, eV per atom: 0.585



2.
# CuReAu2

Crystalline CuReAu2 at its relaxed geometry (GGA-PBE, Alexandria).

Unit cell a=2.7204 b=4.0531 c=5.7352 alpha=90.00 beta=90.00 gamma=90.00
Positions (direct):
Cu 0.5000 0.5000 0.2500
Au 0.0000 0.0000 0.0007
Au 0.0000 0.0000 0.4993
Re 0.5000 0.5000 0.7500

Total magnetic moment, Bohr magnetons per cell: 0.00
VASP energy, eV/atom: -5.331
ΔE_f, eV per atom: 0.443



3.
# CuRe3Au

Crystalline CuRe3Au at its relaxed geometry (GGA-PBE, Alexandria).

Unit cell a=4.4410 b=4.4410 c=4.4410 alpha=90.00 beta=90.00 gamma=90.00
Positions (direct):
Re 0.0000 0.0000 0.5000
Re 0.0000 0.5000 0.0000
Re 0.5000 0.0000 0.0000
Cu 0.0000 0.0000 0.0000
Au 0.5000 0.5000 0.5000

Total magnetic moment, Bohr magnetons per cell: 0.00
VASP energy, eV/atom: -6.936
ΔE_f, eV per atom: 2.008



4.
# CuReAu2

Crystalline CuReAu2 at its relaxed geometry (GGA-PBE, Alexandria).

Unit cell a=4.8308 b=4.8308 c=5.0870 alpha=82.62 beta=82.62 gamma=32.66
Positions (direct):
Au 0.5018 0.5018 0.5009
Au 0.9982 0.9982 0.9991
Cu 0.7500 0.7500 0.7500
Re 0.2500 0.2500 0.2500

Total magnetic moment, Bohr magnetons per cell: 0.00
VASP energy, eV/atom: -5.304
ΔE_f, eV per atom: 0.470



5.
# CuReAu2

Crystalline CuReAu2 at its relaxed geometry (GGA-PBE, Alexandria).

Unit cell a=4.8756 b=4.8756 c=5.0208 alpha=81.49 beta=81.49 gamma=32.50
Positions (direct):
Re 0.2430 0.2430 0.2489
Cu 0.5067 0.5067 0.4963
Au 0.7565 0.7565 0.7320
Au 0.9938 0.9938 0.0229

Total magnetic moment, Bohr magnetons per cell: 0.00
VASP energy, eV/atom: -5.375
ΔE_f, eV per atom: 0.400



6.
# CuReAu2

Crystalline CuReAu2 at its relaxed geometry (GGA-PBE, Alexandria).

Unit cell a=9.1132 b=9.1132 c=9.1132 alpha=18.01 beta=18.01 gamma=18.01
Last column: magnetic moment on the atom in μB.
Positions (direct):
Re 0.7500 0.7500 0.7500  0.20
Au 0.5030 0.5030 0.5030  0.01
Au 0.9970 0.9970 0.9970  0.01
Cu 0.2500 0.2500 0.2500  0.00

Total magnetic moment, Bohr magnetons per cell: 0.23
VASP energy, eV/atom: -5.441
ΔE_f, eV per atom: 0.334



7.
# CuReAu2

Crystalline CuReAu2 at its relaxed geometry (GGA-PBE, Alexandria).

Unit cell a=5.6204 b=5.6204 c=5.6204 alpha=152.06 beta=128.46 gamma=59.64
Last column: magnetic moment on the atom in μB.
Positions (direct):
Au 0.7368 0.2368 0.5000  0.03
Au 0.0083 0.0083 0.0000  0.02
Re 0.2628 0.7628 0.5000  0.67
Cu 0.4922 0.4922 0.0000  0.04

Total magnetic moment, Bohr magnetons per cell: 0.82
VASP energy, eV/atom: -5.329
ΔE_f, eV per atom: 0.446



8.
# CuReAu

Crystalline CuReAu at its relaxed geometry (GGA-PBE, Alexandria).

Unit cell a=6.4132 b=6.4136 c=2.7146 alpha=77.77 beta=77.79 gamma=24.44
Positions (direct):
Re 0.6758 0.6758 0.3242
Cu 0.3278 0.3278 0.6722
Au 0.9963 0.9963 0.0037

Total magnetic moment, Bohr magnetons per cell: 0.00
VASP energy, eV/atom: -6.205
ΔE_f, eV per atom: 0.402



9.
# CuReAu2

Crystalline CuReAu2 at its relaxed geometry (GGA-PBE, Alexandria).

Unit cell a=4.7502 b=4.7502 c=4.7502 alpha=128.49 beta=128.49 gamma=75.82
Last column: magnetic moment on the atom in μB.
Positions (direct):
Cu 0.2500 0.7500 0.5000  0.05
Au 0.5000 0.5000 0.0000  0.04
Au 0.0000 0.0000 0.0000  0.04
Re 0.7500 0.2500 0.5000  1.16

Total magnetic moment, Bohr magnetons per cell: 1.38
VASP energy, eV/atom: -5.188
ΔE_f, eV per atom: 0.587



10.
# CuReAu2

Crystalline CuReAu2 at its relaxed geometry (GGA-PBE, Alexandria).

Unit cell a=4.6782 b=2.7155 c=5.0023 alpha=90.00 beta=90.00 gamma=90.00
Positions (direct):
Au 0.5000 0.1252 0.3020
Au 0.0000 0.1254 0.9400
Cu 0.0000 0.6241 0.4643
Re 0.5000 0.6253 0.7937

Total magnetic moment, Bohr magnetons per cell: 0.00
VASP energy, eV/atom: -5.375
ΔE_f, eV per atom: 0.400



11.
# CuReAu2

Crystalline CuReAu2 at its relaxed geometry (GGA-PBE, Alexandria).

Unit cell a=2.7437 b=2.7437 c=8.3352 alpha=90.00 beta=90.00 gamma=90.02
Positions (direct):
Re 0.5000 0.5000 0.7500
Au 0.0000 0.0000 0.4904
Au 0.0000 0.0000 0.0096
Cu 0.5000 0.5000 0.2500

Total magnetic moment, Bohr magnetons per cell: 0.00
VASP energy, eV/atom: -5.437
ΔE_f, eV per atom: 0.338



12.
# CuReAuS2

Crystalline CuReAuS2 at its relaxed geometry (GGA-PBE, Alexandria).

Unit cell a=4.7951 b=4.7193 c=4.7951 alpha=90.00 beta=90.00 gamma=90.00
Last column: magnetic moment on the atom in μB.
Positions (direct):
Cu 0.0000 0.5000 0.0000  0.03
S 0.5000 0.0000 0.0000  0.04
S 0.0000 0.0000 0.5000  0.02
Re 0.5000 0.5000 0.5000  3.73
Au 0.0000 0.0000 0.0000  -0.01

Total magnetic moment, Bohr magnetons per cell: 4.54
Energy relative to the elements, uncorrected, meV/atom: 1616
VASP energy, eV/atom: -3.999